P.
First-principles (PBE) data for a relaxed TcTe3Rh crystal, as listed in the Alexandria database.

As for the magnetization: 3.47 μB per cell. The calculation puts the volume at 140.2 Å³/f.u.

The structure belongs to space group Pm-3m (No. 221); the cell edges are 5.195, 5.195 and 5.195 Å and the angles 90.00°, 90.00° and 90.00°. The asymmetric unit holds Tc at (0.000, 0.000, 0.000), Te at (0.000, 0.500, 0.500) and Rh at (0.500, 0.500, 0.500).



Q.
First-principles (PBE) data for a relaxed TcTe3Rh crystal, as listed in the Alexandria database.

As for the magnetization: 0.87 μB per cell. The calculation puts the volume at 135.8 Å³/f.u.

The structure belongs to space group Pm-3m (No. 221); the cell edges are 5.140, 5.140 and 5.140 Å and the angles 90.00°, 90.00° and 90.00°. The asymmetric unit holds Tc at (0.000, 0.000, 0.000), Te at (0.000, 0.000, 0.500) and Rh at (0.500, 0.500, 0.500).



Which structure is the most stable? The one labeled P.



P.
First-principles (PBE) data for a relaxed TiTcRh2 crystal, as listed in the Alexandria database.

As for the magnetization: 0.00 μB per cell. The calculation puts the volume at 63.2 Å³/f.u.

The structure belongs to space group I-42d (No. 122); the cell edges are 3.783, 3.783 and 17.675 Å and the angles 90.00°, 90.00° and 90.00°. The asymmetric unit holds Ti at (0.000, 0.000, 0.000), Tc at (0.000, 0.000, 0.500) and Rh at (0.250, 0.250, 0.125).



Q.
First-principles (PBE) data for a relaxed TiTcRh2 crystal, as listed in the Alexandria database.

As for the magnetization: 0.00 μB per cell. The calculation puts the volume at 58.0 Å³/f.u.

The structure belongs to space group P4/mmm (No. 123); the cell edges are 3.895, 3.895 and 3.825 Å and the angles 90.00°, 90.00° and 90.00°. The asymmetric unit holds Ti at (0.000, 0.000, 0.000), Tc at (0.500, 0.500, 0.000) and Rh at (0.000, 0.500, 0.500).



Which structure is the most stable? The one labeled Q.



P.
First-principles (PBE) data for a relaxed Ti4TcRh crystal, as listed in the Alexandria database.

As for the magnetization: 0.00 μB per cell. The calculation puts the volume at 110.1 Å³/f.u.

The structure belongs to space group R-3m (No. 166, hexagonal axes); the cell edges are 4.3824, 4.3824 and 19.8585 Å and the angles 90.00°, 90.00° and 120.00°. The asymmetric unit holds Ti at (0.0000, 0.0000, 0.1236), Ti at (0.0000, 0.0000, 0.3742), Tc at (0.0000, 0.0000, 0.0000) and Rh at (0.0000, 0.0000, 0.5000).



Q.
First-principles (PBE) data for a relaxed Ti4TcRh crystal, as listed in the Alexandria database.

As for the magnetization: 0.00 μB per cell. The calculation puts the volume at 93.1 Å³/f.u.

The structure belongs to space group P4/mmm (No. 123); the cell edges are 3.114, 3.114 and 9.608 Å and the angles 90.00°, 90.00° and 90.00°. The asymmetric unit holds Ti at (0.000, 0.000, 0.155), Ti at (0.500, 0.500, 0.339), Tc at (0.500, 0.500, 0.000) and Rh at (0.000, 0.000, 0.500).



Which structure is the most stable? The one labeled Q.